Here is an optimized crystal structure of RbBi2Pb from Alexandria via LeMat-Bulk. Energies are from GGA-PBE.

Lattice parameters (Å, degrees): 8.514 5.431 13.408 90.00 90.00 90.00
Space group Pnma (No. 62)
Asymmetric unit:
Rb  0.233  0.250  0.150 x4
Bi  0.076  0.250  0.860 x4
Bi  0.244  0.250  0.434 x4
Pb  0.044  0.750  0.369 x4

---

Here is an optimized crystal structure of RbBiPb3 from Alexandria via LeMat-Bulk. Energies are from GGA-PBE.

Lattice parameters (Å, degrees): 7.099 7.394 7.364 90.00 90.00 90.00
Space group Pmn2_1 (No. 31)
Asymmetric unit:
Rb  0.000  0.244  0.000 x2
Bi  0.000  0.907  0.641 x2
Pb  0.000  0.604  0.340 x2
Pb  0.250  0.254  0.489 x4

---

Here is an optimized crystal structure of Rb3BiPb from Alexandria via LeMat-Bulk. Energies are from GGA-PBE.

Lattice parameters (Å, degrees): 6.154 12.327 12.320 90.00 90.00 90.00
Space group Cmcm (No. 63)
Asymmetric unit:
Rb  0.000  0.095  0.250 x4
Rb  0.000  0.187  0.579 x8
Bi  0.000  0.500  0.000 x4
Pb  0.000  0.411  0.250 x4

---

Here is an optimized crystal structure of RbBi2Pb from Alexandria via LeMat-Bulk. Energies are from GGA-PBE.

Lattice parameters (Å, degrees): 6.5284 6.5284 19.4518 90.00 90.00 120.00
Space group R-3m (No. 166, hexagonal axes)
Asymmetric unit:
Rb  0.0000  0.0000  0.0000 x3
Bi  0.0000  0.0000  0.3555 x6
Pb  0.0000  0.0000  0.5000 x3

---

The records above yield VASP energy values of -3.26 -3.27 -2.27 -2.81 eV per atom, respectively.
The records above yield spin magnetization values of 0.00 0.00 0.00 0.00 μB per formula unit, respectively.
The records above yield density of states at the Fermi level values of 0.286 0.448 0.734 0.678 states/eV per atom, respectively.